A plane-wave DFT calculation with GGA-PBE was carried out for a relaxed structure of YTiCrB2.

Unit cell a=4.159 b=4.169 c=4.159 alpha=90.00 beta=90.00 gamma=90.00
Positions (direct):
B  0.000  0.000  0.500
B  0.500  0.000  0.000
Y  0.500  0.500  0.500
Cr  0.000  0.000  0.000
Ti  0.000  0.500  0.000

* formation energy: 0.364 eV/atom
* space group: P4/mmm (123)
* DOS(E_F): 0.556 states/eV per atom
* energy: -7.104 eV per atom
* E above lowest polymorph: 0.0000 eV/atom